# PBE Li4CoCuSn2, optimized geometry
data_Li4CoCuSn2
_cell_length_a 4.3679
_cell_length_b 4.3679
_cell_length_c 6.1866
_cell_angle_alpha 90.00
_cell_angle_beta 90.00
_cell_angle_gamma 90.00
_symmetry_space_group_name_H-M 'P -4 m 2'
_symmetry_Int_Tables_number 115
loop_
_symmetry_equiv_pos_as_xyz
'x,y,z'
'y,-x,-z'
'-x,-y,z'
'-y,x,-z'
'-x,y,z'
'-y,-x,-z'
'x,-y,z'
'y,x,-z'
loop_
_atom_site_label
_atom_site_type_symbol
_atom_site_fract_x
_atom_site_fract_y
_atom_site_fract_z
Li1 Li 0.0000 0.0000 0.0000
Li2 Li 0.0000 0.5000 0.2486
Li3 Li 0.5000 0.5000 0.5000
Co1 Co 0.5000 0.5000 0.0000
Cu1 Cu 0.0000 0.0000 0.5000
Sn1 Sn 0.0000 0.5000 0.7646
# Final energy, eV per atom: -3.56
# V, Å³/cell: 118
# Total moment, Bohr magnetons per cell: 0.5
# Theoretical density, Mg/m³: 5.454

---

# PBE Lu2Tl2O5, optimized geometry
data_Lu2Tl2O5
_cell_length_a 4.0944
_cell_length_b 4.0944
_cell_length_c 8.2681
_cell_angle_alpha 90.00
_cell_angle_beta 90.00
_cell_angle_gamma 90.00
_symmetry_space_group_name_H-M 'P 4/m m m'
_symmetry_Int_Tables_number 123
_symmetry_space_group_name_Hall '-P 4 2'
loop_
_atom_site_label
_atom_site_type_symbol
_atom_site_fract_x
_atom_site_fract_y
_atom_site_fract_z
Lu1 Lu 0.0000 0.0000 0.2477
Tl1 Tl 0.5000 0.5000 0.0000
Tl2 Tl 0.5000 0.5000 0.5000
O1 O 0.0000 0.0000 0.5000
O2 O 0.0000 0.5000 0.1696
# V, Å³/cell: 139
# Energy above the lowest structure with this stoichiometry, eV per atom: 0.000
# Total moment, Bohr magnetons per cell: 0.0
# Theoretical density, Mg/m³: 10.048

---

# PBE HoSiNi2, optimized geometry
data_HoSiNi2
_cell_length_a 5.1319
_cell_length_b 3.9716
_cell_length_c 6.5326
_cell_angle_alpha 90.00
_cell_angle_beta 108.79
_cell_angle_gamma 90.00
_symmetry_space_group_name_H-M 'P 1 21/m 1'
_symmetry_Int_Tables_number 11
loop_
_symmetry_equiv_pos_as_xyz
'x,y,z'
'-x,-y,-z'
'-x,y+1/2,-z'
'x,-y+1/2,z'
loop_
_atom_site_label
_atom_site_type_symbol
_atom_site_fract_x
_atom_site_fract_y
_atom_site_fract_z
Ho1 Ho 0.2497 0.2500 0.2494
Si1 Si 0.2525 0.2500 0.7488
Ni1 Ni 0.1529 0.7500 0.5495
Ni2 Ni 0.3460 0.7500 0.9513
# Final energy, eV per atom: -5.98
# V, Å³/cell: 126
# Total moment, Bohr magnetons per cell: 0.0
# Theoretical density, Mg/m³: 8.178

---

# PBE PrCu4Sb2, optimized geometry
data_PrCu4Sb2
_cell_length_a 7.4971
_cell_length_b 4.3211
_cell_length_c 8.3794
_cell_angle_alpha 90.00
_cell_angle_beta 107.11
_cell_angle_gamma 90.00
_symmetry_space_group_name_H-M 'C 1 2/m 1'
_symmetry_Int_Tables_number 12
loop_
_symmetry_equiv_pos_as_xyz
'x,y,z'
'-x,-y,-z'
'-x,y,-z'
'x,-y,z'
'x+1/2,y+1/2,z'
'-x+1/2,-y+1/2,-z'
'-x+1/2,y+1/2,-z'
'x+1/2,-y+1/2,z'
loop_
_atom_site_label
_atom_site_type_symbol
_atom_site_fract_x
_atom_site_fract_y
_atom_site_fract_z
Pr1 Pr 0.0000 0.0000 0.0000
Cu1 Cu 0.0556 0.5000 0.6634
Cu2 Cu 0.1412 0.0000 0.4269
Sb1 Sb 0.2469 0.5000 0.2436
# Final energy, eV per atom: -4.28
# V, Å³/cell: 259
# Total moment, Bohr magnetons per cell: 0.0
# Theoretical density, Mg/m³: 8.175

---

# PBE BaSr2Pt2, optimized geometry
data_BaSr2Pt2
_cell_length_a 4.9096
_cell_length_b 4.9096
_cell_length_c 13.0682
_cell_angle_alpha 90.00
_cell_angle_beta 90.00
_cell_angle_gamma 90.00
_symmetry_space_group_name_H-M 'I 4/m m m'
_symmetry_Int_Tables_number 139
_symmetry_space_group_name_Hall '-I 4 2'
loop_
_atom_site_label
_atom_site_type_symbol
_atom_site_fract_x
_atom_site_fract_y
_atom_site_fract_z
Ba1 Ba 0.0000 0.0000 0.0000
Sr1 Sr 0.0000 0.5000 0.2500
Pt1 Pt 0.0000 0.0000 0.3978
# Final energy, eV per atom: -4.08
# V, Å³/cell: 315
# Total moment, Bohr magnetons per cell: 0.0
# Theoretical density, Mg/m³: 7.409

---

# PBE Ho2ErTm3Sb2Os, optimized geometry
data_Ho2ErTm3Sb2Os
_cell_length_a 4.2002
_cell_length_b 14.0323
_cell_length_c 8.0952
_cell_angle_alpha 90.00
_cell_angle_beta 90.00
_cell_angle_gamma 90.00
_symmetry_space_group_name_H-M 'A m m 2'
_symmetry_Int_Tables_number 38
loop_
_symmetry_equiv_pos_as_xyz
'x,y,z'
'-x,-y,z'
'-x,y,z'
'x,-y,z'
'x,y+1/2,z+1/2'
'-x,-y+1/2,z+1/2'
'-x,y+1/2,z+1/2'
'x,-y+1/2,z+1/2'
loop_
_atom_site_label
_atom_site_type_symbol
_atom_site_fract_x
_atom_site_fract_y
_atom_site_fract_z
Ho1 Ho 0.0000 0.1958 0.0000
Er1 Er 0.0000 0.0000 0.4129
Tm1 Tm 0.5000 0.0000 0.0394
Tm2 Tm 0.5000 0.1180 0.6859
Sb1 Sb 0.5000 0.1664 0.3042
Os1 Os 0.0000 0.0000 0.8026
# Final energy, eV per atom: -5.87
# V, Å³/cell: 477
# Total moment, Bohr magnetons per cell: 0.0
# Theoretical density, Mg/m³: 10.007

---

# PBE Li4AlGaPd2, optimized geometry
data_Li4AlGaPd2
_cell_length_a 4.2955
_cell_length_b 4.2955
_cell_length_c 6.0654
_cell_angle_alpha 90.00
_cell_angle_beta 90.00
_cell_angle_gamma 90.00
_symmetry_space_group_name_H-M 'P -4 m 2'
_symmetry_Int_Tables_number 115
loop_
_symmetry_equiv_pos_as_xyz
'x,y,z'
'y,-x,-z'
'-x,-y,z'
'-y,x,-z'
'-x,y,z'
'-y,-x,-z'
'x,-y,z'
'y,x,-z'
loop_
_atom_site_label
_atom_site_type_symbol
_atom_site_fract_x
_atom_site_fract_y
_atom_site_fract_z
Li1 Li 0.0000 0.0000 0.0000
Li2 Li 0.0000 0.5000 0.2462
Li3 Li 0.5000 0.5000 0.5000
Al1 Al 0.0000 0.0000 0.5000
Ga1 Ga 0.5000 0.5000 0.0000
Pd1 Pd 0.0000 0.5000 0.7448
# Final energy, eV per atom: -3.63
# V, Å³/cell: 112
# Theoretical density, Mg/m³: 5.005

---

# PBE LuZnCuAu, optimized geometry
data_LuZnCuAu
_cell_length_a 6.5630
_cell_length_b 6.5630
_cell_length_c 6.5630
_cell_angle_alpha 90.00
_cell_angle_beta 90.00
_cell_angle_gamma 90.00
_symmetry_space_group_name_H-M 'F -4 3 m'
_symmetry_Int_Tables_number 216
_symmetry_space_group_name_Hall 'F -4 2 3'
loop_
_atom_site_label
_atom_site_type_symbol
_atom_site_fract_x
_atom_site_fract_y
_atom_site_fract_z
Lu1 Lu 0.0000 0.0000 0.0000
Zn1 Zn 0.0000 0.0000 0.5000
Cu1 Cu 0.2500 0.2500 0.7500
Au1 Au 0.2500 0.2500 0.2500
# V, Å³/cell: 283
# Energy above the lowest structure with this stoichiometry, eV per atom: 0.000
# Total moment, Bohr magnetons per cell: 0.0
# Energy of formation, kJ/mol of atoms: -41.9
# Theoretical density, Mg/m³: 11.769

---

# PBE RbMgAg, optimized geometry
data_RbMgAg
_cell_length_a 7.6865
_cell_length_b 7.6865
_cell_length_c 7.6865
_cell_angle_alpha 90.00
_cell_angle_beta 90.00
_cell_angle_gamma 90.00
_symmetry_space_group_name_H-M 'F -4 3 m'
_symmetry_Int_Tables_number 216
_symmetry_space_group_name_Hall 'F -4 2 3'
loop_
_atom_site_label
_atom_site_type_symbol
_atom_site_fract_x
_atom_site_fract_y
_atom_site_fract_z
Rb1 Rb 0.0000 0.0000 0.0000
Mg1 Mg 0.0000 0.0000 0.5000
Ag1 Ag 0.2500 0.2500 0.7500
# V, Å³/cell: 454
# Energy above the lowest structure with this stoichiometry, eV per atom: 0.000
# Theoretical density, Mg/m³: 3.183

---

# PBE SmTmPd, optimized geometry
data_SmTmPd
_cell_length_a 6.9132
_cell_length_b 6.9132
_cell_length_c 6.9132
_cell_angle_alpha 90.00
_cell_angle_beta 90.00
_cell_angle_gamma 90.00
_symmetry_space_group_name_H-M 'F -4 3 m'
_symmetry_Int_Tables_number 216
_symmetry_space_group_name_Hall 'F -4 2 3'
loop_
_atom_site_label
_atom_site_type_symbol
_atom_site_fract_x
_atom_site_fract_y
_atom_site_fract_z
Sm1 Sm 0.0000 0.0000 0.0000
Tm1 Tm 0.0000 0.0000 0.5000
Pd1 Pd 0.2500 0.2500 0.2500
# V, Å³/cell: 330
# Energy above the lowest structure with this stoichiometry, eV per atom: 0.000
# Total moment, Bohr magnetons per cell: 0.0
# Energy of formation, kJ/mol of atoms: -45.0
# Theoretical density, Mg/m³: 8.558

---

# PBE RbNiB, optimized geometry
data_RbNiB
_cell_length_a 6.3352
_cell_length_b 6.3352
_cell_length_c 6.3352
_cell_angle_alpha 90.00
_cell_angle_beta 90.00
_cell_angle_gamma 90.00
_symmetry_space_group_name_H-M 'F -4 3 m'
_symmetry_Int_Tables_number 216
_symmetry_space_group_name_Hall 'F -4 2 3'
loop_
_atom_site_label
_atom_site_type_symbol
_atom_site_fract_x
_atom_site_fract_y
_atom_site_fract_z
Rb1 Rb 0.0000 0.0000 0.0000
Ni1 Ni 0.2500 0.2500 0.7500
B1 B 0.0000 0.0000 0.5000
# V, Å³/cell: 254
# Energy above the lowest structure with this stoichiometry, eV per atom: 0.000
# Total moment, Bohr magnetons per cell: 0.0
# Theoretical density, Mg/m³: 4.048

---

# PBE RbIrNO, optimized geometry
data_RbIrNO
_cell_length_a 3.6797
_cell_length_b 3.6797
_cell_length_c 10.7238
_cell_angle_alpha 90.00
_cell_angle_beta 90.00
_cell_angle_gamma 90.00
_symmetry_space_group_name_H-M 'P 4/n m m'
_symmetry_Int_Tables_number 129
loop_
_symmetry_equiv_pos_as_xyz
'x,y,z'
'-x,-y,-z'
'-y+1/2,x,z'
'y+1/2,-x,-z'
'-x+1/2,-y+1/2,z'
'x+1/2,y+1/2,-z'
'y,-x+1/2,z'
'-y,x+1/2,-z'
'x+1/2,-y,-z'
'-x+1/2,y,z'
'-y,-x,-z'
'y,x,z'
'-x,y+1/2,-z'
'x,-y+1/2,z'
'y+1/2,x+1/2,-z'
'-y+1/2,-x+1/2,z'
loop_
_atom_site_label
_atom_site_type_symbol
_atom_site_fract_x
_atom_site_fract_y
_atom_site_fract_z
Rb1 Rb 0.2500 0.2500 0.1806
Ir1 Ir 0.2500 0.7500 0.5000
N1 N 0.2500 0.2500 0.5977
O1 O 0.2500 0.7500 0.0000
# V, Å³/cell: 145
# Energy above the lowest structure with this stoichiometry, eV per atom: 0.628
# Total moment, Bohr magnetons per cell: 0.0
# Theoretical density, Mg/m³: 7.038

---

Repeat the third record exactly.
# PBE HoSiNi2, optimized geometry
data_HoSiNi2
_cell_length_a 5.1319
_cell_length_b 3.9716
_cell_length_c 6.5326
_cell_angle_alpha 90.00
_cell_angle_beta 108.79
_cell_angle_gamma 90.00
_symmetry_space_group_name_H-M 'P 1 21/m 1'
_symmetry_Int_Tables_number 11
loop_
_symmetry_equiv_pos_as_xyz
'x,y,z'
'-x,-y,-z'
'-x,y+1/2,-z'
'x,-y+1/2,z'
loop_
_atom_site_label
_atom_site_type_symbol
_atom_site_fract_x
_atom_site_fract_y
_atom_site_fract_z
Ho1 Ho 0.2497 0.2500 0.2494
Si1 Si 0.2525 0.2500 0.7488
Ni1 Ni 0.1529 0.7500 0.5495
Ni2 Ni 0.3460 0.7500 0.9513
# Final energy, eV per atom: -5.98
# V, Å³/cell: 126
# Total moment, Bohr magnetons per cell: 0.0
# Theoretical density, Mg/m³: 8.178

---

- Among the records above, which one has the lowest V?
  Li4AlGaPd2

---

- theoretical density of number 4 (PrCu4Sb2)?
  8.175 Mg/m³